#one
SmHgMo | PBE | optimized geometry

Values from the calculation:
* calculated volume: 26.80 Å³ per atom

abc: 6.851 6.851 6.851
angles: 90.00 90.00 90.00
Space group F-43m (No. 216)
Inequivalent atoms, fractional coordinates:
Sm (0.000, 0.000, 0.000)
Hg (0.250, 0.250, 0.750)
Mo (0.000, 0.000, 0.500)


#two
SmHgMo | PBE | optimized geometry

Values from the calculation:
* calculated volume: 27.99 Å³ per atom

abc: 6.951 6.951 6.951
angles: 90.00 90.00 90.00
Space group F-43m (No. 216)
Inequivalent atoms, fractional coordinates:
Sm (0.000, 0.000, 0.000)
Hg (0.250, 0.250, 0.750)
Mo (0.250, 0.250, 0.250)


The most stable arrangement is #one, and the next structure is 301 meV per atom less stable.


#one
TmHgMo | PBE | optimized geometry

Values from the calculation:
* calculated volume: 25.10 Å³ per atom

abc: 6.704 6.704 6.704
angles: 90.00 90.00 90.00
Space group F-43m (No. 216)
Inequivalent atoms, fractional coordinates:
Tm (0.000, 0.000, 0.000)
Hg (0.250, 0.250, 0.750)
Mo (0.000, 0.000, 0.500)


#two
TmHgMo | PBE | optimized geometry

Values from the calculation:
* calculated volume: 25.92 Å³ per atom

abc: 6.775 6.775 6.775
angles: 90.00 90.00 90.00
Space group F-43m (No. 216)
Inequivalent atoms, fractional coordinates:
Tm (0.000, 0.000, 0.000)
Hg (0.250, 0.250, 0.750)
Mo (0.250, 0.250, 0.250)


The most stable arrangement is #one, and the next structure is 269 meV per atom less stable.


#one
NaHgNO | PBE | optimized geometry

Values from the calculation:
* calculated volume: 12.72 Å³ per atom

abc: 4.661 4.661 4.684
angles: 90.00 90.00 90.00
Space group P4/nmm (No. 129, origin choice 2)
Inequivalent atoms, fractional coordinates:
Na (0.250, 0.250, 0.005)
Hg (0.250, 0.750, 0.500)
N (0.250, 0.250, 0.507)
O (0.250, 0.750, 0.000)


#two
NaHgNO | PBE | optimized geometry

Values from the calculation:
* calculated volume: 13.04 Å³ per atom

abc: 4.842 4.842 4.451
angles: 90.00 90.00 90.00
Space group P4/nmm (No. 129, origin choice 2)
Inequivalent atoms, fractional coordinates:
Na (0.250, 0.750, 0.000)
Hg (0.250, 0.250, 0.498)
N (0.250, 0.250, 0.998)
O (0.250, 0.750, 0.500)


#three
NaHgNO | PBE | optimized geometry

Values from the calculation:
* calculated volume: 17.07 Å³ per atom

abc: 3.416 6.429 6.216
angles: 90.00 90.00 90.00
Space group Pmc2_1 (No. 26)
Inequivalent atoms, fractional coordinates:
Na (0.000, 0.151, 0.000)
Hg (0.500, 0.351, 0.493)
N (0.500, 0.359, 0.828)
O (0.000, 0.171, 0.361)


#four
NaHgNO | PBE | optimized geometry

Values from the calculation:
* calculated volume: 16.48 Å³ per atom

abc: 3.915 5.928 5.681
angles: 90.00 90.00 90.00
Space group Pmc2_1 (No. 26)
Inequivalent atoms, fractional coordinates:
Na (0.000, 0.227, 0.000)
Hg (0.500, 0.272, 0.498)
N (0.000, 0.183, 0.442)
O (0.500, 0.361, 0.872)


The most stable arrangement is #one, and the next structure is 53 meV per atom less stable.